Entry 1:
A plane-wave DFT calculation with PBE was carried out for a relaxed SmZn4Ag crystal.

extended XYZ file:
```
24
Lattice="8.311 0.000 0.000 0.000 16.468 0.000 0.000 0.000 3.319" Properties=species:S:1:pos:R:3 pbc="T T T"
Sm 1.023 2.561 0.000
Sm 3.133 10.794 0.000
Sm 5.178 5.673 0.000
Sm 7.288 13.907 0.000
Zn 0.232 11.442 1.659
Zn 1.013 15.809 1.659
Zn 1.096 9.067 1.659
Zn 1.777 13.328 1.659
Zn 2.378 5.094 1.659
Zn 3.060 0.833 1.659
Zn 3.143 7.575 1.659
Zn 3.924 3.209 1.659
Zn 4.387 13.259 1.659
Zn 5.168 8.892 1.659
Zn 5.251 15.635 1.659
Zn 5.932 11.373 1.659
Zn 6.534 3.139 1.659
Zn 7.215 7.401 1.659
Zn 7.298 0.658 1.659
Zn 8.079 5.025 1.659
Ag 1.059 6.827 0.000
Ag 3.097 15.061 0.000
Ag 5.214 1.407 0.000
Ag 7.252 9.640 0.000
```

Summary:
- Total DFT energy (no corrections): -54.86 eV for the cell shown
- Crystal system: orthorhombic
- Calculated formation energy: -175 meV/atom


Entry 2:
A plane-wave DFT calculation with PBE was carried out for a relaxed Pr2Dy5Mg crystal.

extended XYZ file:
```
32
Lattice="8.440 0.000 0.000 -2.665 10.967 0.000 -2.607 -0.759 11.079" Properties=species:S:1:pos:R:3 pbc="T T T"
Pr -1.015 0.688 3.970
Pr -1.239 3.789 6.117
Pr -0.790 5.966 3.129
Pr -1.496 8.781 5.054
Pr 4.664 1.427 6.025
Pr 3.958 4.243 7.950
Pr 4.407 6.419 4.961
Pr 4.183 9.520 7.109
Dy -0.610 2.840 1.270
Dy -1.895 1.605 9.067
Dy 1.282 0.170 0.844
Dy -2.296 4.961 10.780
Dy -1.879 6.774 7.831
Dy -1.819 9.767 9.577
Dy 1.021 1.263 6.912
Dy 2.474 0.533 3.713
Dy 0.472 4.108 9.064
Dy 1.789 3.711 4.347
Dy 1.379 6.497 6.731
Dy 2.696 6.101 2.014
Dy 0.695 9.676 7.366
Dy 2.147 8.945 4.167
Dy 4.987 0.442 1.502
Dy 5.047 3.435 3.247
Dy 5.464 5.247 0.299
Dy 1.886 10.038 10.235
Dy 5.063 8.603 2.011
Dy 3.779 7.369 9.809
Mg 0.405 8.585 1.326
Mg 2.780 3.020 0.780
Mg 0.389 7.188 10.298
Mg 2.763 1.623 9.753
```

Summary:
- Total DFT energy (no corrections): -133.81 eV for the cell shown
- Crystal system: triclinic
- Calculated formation energy: 89 meV/atom


Entry 3:
A plane-wave DFT calculation with PBE was carried out for a relaxed TiPd4Au5 crystal.

extended XYZ file:
```
10
Lattice="4.926 0.000 0.000 1.484 5.554 0.000 1.621 1.121 6.079" Properties=species:S:1:pos:R:3 pbc="T T T"
Ti 0.000 0.000 0.000
Pd 2.384 2.290 3.718
Pd 2.402 0.765 1.190
Pd 5.629 5.910 4.889
Pd 5.647 4.386 2.360
Au 0.742 2.777 0.000
Au 3.174 5.129 3.670
Au 3.156 3.597 1.216
Au 4.875 3.078 4.862
Au 4.856 1.546 2.409
```

Summary:
- Total DFT energy (no corrections): -47.61 eV for the cell shown
- Crystal system: triclinic
- Calculated formation energy: -256 meV/atom


Entry 4:
A plane-wave DFT calculation with PBE was carried out for a relaxed Sm3YPa2N6 crystal.

extended XYZ file:
```
12
Lattice="3.058 -5.301 0.000 3.058 5.301 0.000 -2.036 0.000 5.794" Properties=species:S:1:pos:R:3 pbc="T T T"
Sm 0.000 0.000 0.000
Sm 3.058 1.756 0.000
Sm 3.058 -1.756 0.000
Y 2.040 0.000 2.897
Pa 2.040 3.533 2.897
Pa 2.040 -3.533 2.897
N 0.980 1.833 1.595
N -0.072 0.000 4.203
N 0.980 -1.833 1.595
N 3.101 1.833 4.199
N 4.153 0.000 1.591
N 3.101 -1.833 4.199
```

Summary:
- Total DFT energy (no corrections): -109.14 eV for the cell shown
- Crystal system: monoclinic
- Energy relative to the elements, uncorrected: -19.57 eV/f.u.


Entry 5:
A plane-wave DFT calculation with PBE was carried out for a relaxed Pr12Er6Th crystal.

extended XYZ file:
```
19
Lattice="7.957 4.594 2.968 -7.957 4.594 2.968 0.000 -9.188 2.968" Properties=species:S:1:pos:R:3 pbc="T T T"
Pr -4.149 -0.493 3.018
Pr -0.419 -5.606 2.967
Pr -4.645 3.166 2.967
Pr -5.064 -2.440 5.937
Pr 2.501 -3.347 3.018
Pr -1.648 -3.839 5.886
Pr 1.648 3.839 3.018
Pr -2.501 3.347 5.886
Pr 5.064 2.440 2.967
Pr 4.645 -3.166 5.937
Pr 0.419 5.606 5.937
Pr 4.149 0.493 5.886
Er -0.814 -1.868 2.958
Er -1.211 1.639 2.958
Er 2.025 0.229 2.958
Er -2.025 -0.229 5.946
Er 1.211 -1.639 5.946
Er 0.814 1.868 5.946
Th 0.000 0.000 0.000
```

Summary:
- Total DFT energy (no corrections): -91.66 eV for the cell shown
- Crystal system: trigonal
- Calculated formation energy: 26 meV/atom


Entry 6:
A plane-wave DFT calculation with PBE was carried out for a relaxed TbEu2Ga crystal.

extended XYZ file:
```
4
Lattice="4.780 0.000 0.000 0.000 4.780 0.000 0.000 0.000 5.100" Properties=species:S:1:pos:R:3 pbc="T T T"
Tb 0.000 0.000 0.000
Eu 0.000 2.390 2.550
Eu 2.390 0.000 2.550
Ga 2.390 2.390 0.000
```

Summary:
- Total DFT energy (no corrections): -28.77 eV for the cell shown
- Crystal system: tetragonal
- Calculated formation energy: -141 meV/atom